Material: TmScMo
Method: DFT, PBE
State: relaxed

Properties
The energy of formation comes out at 105 kJ per mole of atoms. The energy above the most stable polymorph in this dataset is 0.0 meV/atom. The value obtained for the magnetic moment is 6.66 Bohr magnetons per cell.

Geometry as CIF:
```
data_TmScMo
_space_group_name_H-M_alt 'F -4 3 m'
_space_group_IT_number 216
_space_group_name_Hall 'F -4 2 3'
_cell_length_a 6.646
_cell_length_b 6.646
_cell_length_c 6.646
_cell_angle_alpha 90.00
_cell_angle_beta 90.00
_cell_angle_gamma 90.00
loop_
_atom_site_label
_atom_site_type_symbol
_atom_site_fract_x
_atom_site_fract_y
_atom_site_fract_z
Tm1 Tm 0.000 0.000 0.000
Sc1 Sc 0.250 0.250 0.750
Mo1 Mo 0.000 0.000 0.500
```